# 1
16
Lattice="-4.541 4.034 -0.654 -0.711 -0.274 3.247 8.339 6.177 2.349" Properties=species:S:1:pos:R:3 comment="PBE-GGA Mg2CN, optimized geometry" e_form_raw_mev_per_atom=-196 e_above_lowest_polymorph_kj_per_mol_atoms=0.8 pbc="T T T"
Mg 4.021 8.976 1.640
Mg -0.504 5.751 2.088
Mg 1.384 3.932 0.635
Mg 5.198 6.883 3.434
Mg 4.230 4.567 1.313
Mg -0.295 1.341 1.761
Mg -1.352 3.375 -0.011
Mg 2.462 6.326 2.787
C -2.318 5.592 -0.035
C 1.496 8.543 2.763
C -3.242 4.728 -0.311
C 0.571 7.680 2.487
N 4.194 6.800 1.494
N -0.332 3.574 1.942
N 3.153 2.399 0.894
N 6.967 5.350 3.692

=====

# 2
5
Lattice="-6.281 1.769 -1.422 -1.447 -1.884 4.045 0.954 5.854 3.069" Properties=species:S:1:pos:R:3 comment="PBE-GGA K2RbMoRh, optimized geometry" formation_energy_ev_per_atom=0.923 pbc="T T T"
Mo 0.000 0.000 0.000
Rh -0.723 -0.942 2.022
K 0.477 2.927 1.534
K -3.140 0.885 -0.711
Rb -3.386 2.870 2.846

=====

# 3
5
Lattice="-0.180 5.978 -4.224 -5.750 -2.730 -3.619 -2.967 2.115 3.119" Properties=species:S:1:pos:R:3 comment="PBE-GGA Cs2RbAgP, optimized geometry" formation_energy_ev_per_atom=0.006 pbc="T T T"
Cs -2.875 -1.365 -1.809
Cs -0.090 2.989 -2.112
P 0.000 0.000 0.000
Rb -4.448 2.681 -2.362
Ag -1.483 1.057 1.559

=====

# 4
10
Lattice="7.308 0.000 0.000 0.000 8.267 0.000 0.000 -4.133 5.767" Properties=species:S:1:pos:R:3 comment="PBE-GGA La2NdTmSc, optimized geometry" formation_energy_ev_per_atom=0.356 pbc="T T T"
La 3.654 2.488 0.000
La 0.000 5.778 0.000
La 3.654 5.778 0.000
La 0.000 2.488 0.000
Nd 1.827 4.133 2.662
Nd 5.481 0.000 3.105
Tm 5.481 4.133 2.824
Tm 1.827 0.000 2.943
Sc 1.827 4.133 5.650
Sc 5.481 0.000 0.117

=====

# 5
4
Lattice="9.985 -0.016 -0.010 9.601 2.740 -0.010 9.601 1.335 2.393" Properties=species:S:1:pos:R:3 comment="PBE-GGA KFeIr2, optimized geometry" formation_energy_ev_per_atom=0.460 e_above_lowest_polymorph_kj_per_mol_atoms=1.9 pbc="T T T"
Fe 21.891 3.044 1.780
Ir 0.403 0.056 0.033
Ir 14.191 1.974 1.154
K 7.297 1.015 0.593

=====

# 6
6
Lattice="-1.619 -0.650 -2.650 0.045 -4.218 1.007 -9.369 1.225 5.548" Properties=species:S:1:pos:R:3 comment="PBE-GGA RePPb, optimized geometry" formation_energy_ev_per_atom=0.091 e_above_lowest_polymorph_kj_per_mol_atoms=8.9 pbc="T T T"
Re -0.686 -1.180 -0.241
Re -10.257 -2.463 4.146
P -9.348 -0.473 3.101
P -1.595 -3.169 0.803
Pb -6.810 -0.810 1.580
Pb -4.133 -2.833 2.325

=====

# 7
5
Lattice="-2.512 -4.694 -2.846 4.200 0.373 -4.321 3.160 -4.636 -1.546" Properties=species:S:1:pos:R:3 comment="PBE-GGA Ca2CuHg2, optimized geometry" formation_energy_ev_per_atom=-0.107 e_above_lowest_polymorph_kj_per_mol_atoms=14.6 pbc="T T T"
Ca 0.746 -5.745 -3.988
Ca 4.102 -3.212 -4.726
Hg 1.648 -3.020 -2.876
Hg 3.199 -5.937 -5.837
Cu 0.000 0.000 0.000

=====

# 8
5
Lattice="-4.329 -0.918 1.906 -1.274 -2.333 -4.019 1.823 -4.441 2.001" Properties=species:S:1:pos:R:3 comment="PBE-GGA CaSc2TlFe, optimized geometry" formation_energy_ev_per_atom=-0.010 pbc="T T T"
Sc -0.637 -1.167 -2.009
Sc -2.165 -0.459 0.953
Tl 0.911 -2.221 1.000
Ca -1.890 -3.846 -0.056
Fe 0.000 0.000 0.000

=====

# 9
15
Lattice="6.991 0.000 3.157 3.496 8.578 1.578 -0.034 0.000 9.396" Properties=species:S:1:pos:R:3 comment="PBE-GGA DyY10Er4, optimized geometry" formation_energy_ev_per_atom=0.730 pbc="T T T"
Dy 0.000 0.000 0.000
Y 3.478 4.289 6.277
Y 5.558 2.576 10.982
Y 0.691 0.856 3.138
Y 6.272 7.722 9.418
Y 8.384 6.002 4.725
Y 4.894 6.002 3.149
Y 6.974 4.289 7.855
Y 2.069 2.576 9.407
Y 4.180 0.856 4.714
Y 9.762 7.722 10.993
Er 5.579 6.858 6.286
Er 7.665 5.145 10.985
Er 2.788 3.433 3.146
Er 4.874 1.720 7.846

=====

# 10
4
Lattice="8.001 -0.017 -0.010 7.502 2.781 -0.010 7.502 1.338 2.438" Properties=species:S:1:pos:R:3 comment="PBE-GGA Al2NiIr, optimized geometry" formation_energy_ev_per_atom=-0.498 pbc="T T T"
Ni 17.254 3.076 1.814
Ir 5.751 1.025 0.605
Al 0.070 0.012 0.007
Al 11.433 2.038 1.202

=====

# 11
4
Lattice="0.000 3.923 3.923 3.923 0.000 3.923 3.923 3.923 0.000" Properties=species:S:1:pos:R:3 comment="PBE-GGA RbLaZn2, optimized geometry" formation_energy_ev_per_atom=0.183 e_above_lowest_polymorph_kj_per_mol_atoms=0.0 pbc="T T T"
Zn 1.961 1.961 1.961
Zn 5.884 5.884 5.884
Rb 0.000 0.000 0.000
La 3.923 3.923 3.923

=====

# 12
13
Lattice="-1.574 -4.733 -2.731 4.797 -5.799 1.971 -5.205 -4.122 4.223" Properties=species:S:1:pos:R:3 comment="PBE-GGA SrMg11Cu, optimized geometry" formation_energy_ev_per_atom=-0.039 pbc="T T T"
Sr 0.000 0.000 0.000
Mg -0.473 -3.601 0.524
Mg -1.509 -11.054 2.939
Mg 1.835 -7.672 1.070
Mg -3.817 -6.983 2.392
Mg -0.872 -8.054 3.054
Mg -1.110 -6.601 0.409
Mg -3.233 -9.499 0.733
Mg 1.251 -5.156 2.729
Mg 2.398 -2.900 0.985
Mg -3.390 -4.428 0.746
Mg -2.603 -2.061 2.111
Cu 1.612 -5.266 -0.380

=====

no.,ρ (g cm⁻³),M_tot (μB/f.u.)
1,2.3,0.0
2,2.9,2.7
3,3.2,0.0
4,6.1,0.0
5,12.0,3.6
6,9.3,0.0
7,6.3,0.0
8,5.4,0.0
9,5.1,0.0
10,9.2,0.0
11,4.9,0.0
12,2.3,0.0